Entry 1:
Material: Tb2CeSmTm
Method: DFT, GGA-PBE
State: relaxed

Results
raw total energy: -45.90 eV per cell

Cell: 5.874 7.762 7.139 Å, 90.00 90.00 90.00°
Space group Pmma (No. 51)
Inequivalent atoms, fractional coordinates:
Tb (0.250, 0.209, 0.181) [4 per cell]
Ce (0.000, 0.500, 0.500) [2 per cell]
Sm (0.250, 0.000, 0.662) [2 per cell]
Tm (0.250, 0.500, 0.890) [2 per cell]

---

Entry 2:
Material: KCoI3
Method: DFT, GGA-PBE
State: relaxed

Results
offset from the most stable computed form: 1218.9 meV per atom
formation energy from raw total energies: 639 meV/atom
raw total energy: -9.66 eV per cell

Cell: 6.422 6.422 6.422 Å, 90.00 90.00 90.00°
Space group Pm-3m (No. 221)
Inequivalent atoms, fractional coordinates:
K (0.000, 0.000, 0.000) [1 per cell]
Co (0.500, 0.500, 0.500) [1 per cell]
I (0.000, 0.000, 0.500) [3 per cell]

---

Entry 3:
Material: Pr3DyHo2Te6
Method: DFT, GGA-PBE
State: relaxed

Results
formation energy from raw total energies: -1356 meV/atom
raw total energy: -126.42 eV per cell

Cell: 19.495 4.374 9.010 Å, 90.00 105.26 90.00°
Space group C2/m (No. 12)
Inequivalent atoms, fractional coordinates:
Pr (0.000, 0.000, 0.000) [2 per cell]
Pr (0.166, 0.500, 0.332) [4 per cell]
Dy (0.000, 0.000, 0.500) [2 per cell]
Ho (0.166, 0.500, 0.832) [4 per cell]
Te (0.004, 0.500, 0.742) [4 per cell]
Te (0.164, 0.000, 0.592) [4 per cell]
Te (0.171, 0.000, 0.074) [4 per cell]

---

Entry 4:
Material: La3ZrFe
Method: DFT, GGA-PBE
State: relaxed

Results
raw total energy: -30.09 eV per cell

Cell: 5.330 5.330 5.330 Å, 90.00 90.00 90.00°
Space group Pm-3m (No. 221)
Inequivalent atoms, fractional coordinates:
La (0.000, 0.000, 0.500) [3 per cell]
Zr (0.500, 0.500, 0.500) [1 per cell]
Fe (0.000, 0.000, 0.000) [1 per cell]

---

Entry 5:
Material: Li2HfCdAs
Method: DFT, GGA-PBE
State: relaxed

Results
raw total energy: -20.20 eV per cell

Cell: 4.614 4.614 5.148 Å, 90.00 90.00 90.00°
Space group P4/mmm (No. 123)
Inequivalent atoms, fractional coordinates:
Li (0.000, 0.500, 0.000) [2 per cell]
Hf (0.000, 0.000, 0.500) [1 per cell]
Cd (0.500, 0.500, 0.500) [1 per cell]
As (0.000, 0.000, 0.000) [1 per cell]

---

Entry 6:
Material: CaIn2Ga
Method: DFT, GGA-PBE
State: relaxed

Results
raw total energy: -11.70 eV per cell

Cell: 4.583 4.583 4.680 Å, 90.00 90.00 90.00°
Space group P4/mmm (No. 123)
Inequivalent atoms, fractional coordinates:
Ca (0.000, 0.000, 0.000) [1 per cell]
In (0.000, 0.500, 0.500) [2 per cell]
Ga (0.500, 0.500, 0.000) [1 per cell]

---

Entry 7:
Material: Dy3Tl6Cl14
Method: DFT, GGA-PBE
State: relaxed

Results
formation energy from raw total energies: -1539 meV/atom
raw total energy: -89.24 eV per cell

Cell: 11.7036 11.7036 6.9038 Å, 90.00 90.00 120.00°
Space group P3 (No. 143)
Inequivalent atoms, fractional coordinates:
Dy (0.0000, 0.0000, 0.0000) [1 per cell]
Dy (0.3333, 0.6667, 0.4451) [1 per cell]
Dy (0.6667, 0.3333, 0.1084) [1 per cell]
Tl (0.0257, 0.4452, 0.8763) [3 per cell]
Tl (0.3225, 0.1931, 0.4515) [3 per cell]
Cl (0.0000, 0.0000, 0.6341) [1 per cell]
Cl (0.0803, 0.2261, 0.1371) [3 per cell]
Cl (0.1778, 0.7306, 0.5957) [3 per cell]
Cl (0.3333, 0.6667, 0.0797) [1 per cell]
Cl (0.4530, 0.2632, 0.8928) [3 per cell]
Cl (0.5346, 0.1188, 0.3274) [3 per cell]

---

Entry 8:
Material: FeCuPt3
Method: DFT, GGA-PBE
State: relaxed

Results
offset from the most stable computed form: 1181.6 meV per atom
raw total energy: -25.67 eV per cell

Cell: 4.574 4.574 4.574 Å, 90.00 90.00 90.00°
Space group Pm-3m (No. 221)
Inequivalent atoms, fractional coordinates:
Fe (0.000, 0.000, 0.000) [1 per cell]
Cu (0.500, 0.500, 0.500) [1 per cell]
Pt (0.000, 0.000, 0.500) [3 per cell]

---

> What is the raw total energy in the third record?

-126.42 eV per cell